Entry 1:
A relaxed structure of Sc3InBi, computed with PBE.

Structure (CIF):
```
data_Sc3InBi
_chemical_formula_sum 'Sc3 In1 Bi1'
_space_group_name_H-M_alt 'P 1'
_space_group_IT_number 1
_space_group_name_Hall 'P 1'
_cell_length_a 5.400
_cell_length_b 5.400
_cell_length_c 5.400
_cell_angle_alpha 90.00
_cell_angle_beta 90.00
_cell_angle_gamma 90.00
loop_
_atom_site_label
_atom_site_type_symbol
_atom_site_fract_x
_atom_site_fract_y
_atom_site_fract_z
Sc1 Sc 0.000 0.000 0.500
Sc2 Sc 0.000 0.500 0.000
Sc3 Sc 0.500 0.000 0.000
In1 In 0.500 0.500 0.500
Bi1 Bi 0.000 0.000 0.000
```

Properties
The value obtained for the energy of formation is 0.221 eV/atom. The total energy is -24.51 eV for the cell shown. As for the volume: 31.5 Å³ per atom. The energy above the most stable polymorph in this dataset is 0.086 eV per atom.


Entry 2:
A relaxed structure of BaTl3Re2O9, computed with PBE.

Structure (CIF):
```
data_BaTl3Re2O9
_chemical_formula_sum 'Ba1 Tl3 Re2 O9'
_space_group_name_H-M_alt 'P 1'
_space_group_IT_number 1
_space_group_name_Hall 'P 1'
_cell_length_a 5.937
_cell_length_b 5.937
_cell_length_c 8.156
_cell_angle_alpha 90.00
_cell_angle_beta 90.00
_cell_angle_gamma 120.00
loop_
_atom_site_label
_atom_site_type_symbol
_atom_site_fract_x
_atom_site_fract_y
_atom_site_fract_z
Ba1 Ba 0.000 0.000 0.000
Tl1 Tl 0.000 0.000 0.500
Tl2 Tl 0.333 0.667 0.229
Tl3 Tl 0.667 0.333 0.771
Re1 Re 0.333 0.667 0.649
Re2 Re 0.667 0.333 0.351
O1 O 0.000 0.500 0.500
O2 O 0.183 0.367 0.767
O3 O 0.183 0.817 0.767
O4 O 0.367 0.183 0.233
O5 O 0.500 0.000 0.500
O6 O 0.500 0.500 0.500
O7 O 0.633 0.817 0.767
O8 O 0.817 0.183 0.233
O9 O 0.817 0.633 0.233
```

Properties
The total energy is -100.75 eV for the cell shown. Its uncorrected formation energy is -1480 meV/atom. As for the volume: 16.6 Å³ per atom.


Entry 3:
A relaxed structure of Ac4SiTe2As, computed with PBE.

Structure (CIF):
```
data_Ac4SiTe2As
_chemical_formula_sum 'Ac4 Si1 Te2 As1'
_space_group_name_H-M_alt 'P 1'
_space_group_IT_number 1
_space_group_name_Hall 'P 1'
_cell_length_a 8.015
_cell_length_b 4.628
_cell_length_c 8.189
_cell_angle_alpha 90.00
_cell_angle_beta 109.03
_cell_angle_gamma 90.00
loop_
_atom_site_label
_atom_site_type_symbol
_atom_site_fract_x
_atom_site_fract_y
_atom_site_fract_z
Ac1 Ac 0.238 0.000 0.223
Ac2 Ac 0.255 0.500 0.777
Ac3 Ac 0.745 0.500 0.223
Ac4 Ac 0.762 0.000 0.777
Si1 Si 0.000 0.500 0.000
Te1 Te 0.000 0.000 0.500
Te2 Te 0.500 0.500 0.500
As1 As 0.500 0.000 0.000
```

Properties
The total energy is -43.59 eV for the cell shown. Its uncorrected formation energy is -1349 meV/atom. As for the volume: 35.9 Å³ per atom.


Entry 4:
A relaxed structure of K2Ta3S6, computed with PBE.

Structure (CIF):
```
data_K2Ta3S6
_chemical_formula_sum 'K4 Ta6 S12'
_space_group_name_H-M_alt 'P 1'
_space_group_IT_number 1
_space_group_name_Hall 'P 1'
_cell_length_a 16.222
_cell_length_b 16.222
_cell_length_c 16.222
_cell_angle_alpha 20.97
_cell_angle_beta 20.97
_cell_angle_gamma 20.97
loop_
_atom_site_label
_atom_site_type_symbol
_atom_site_fract_x
_atom_site_fract_y
_atom_site_fract_z
K1 K 0.083 0.083 0.083
K2 K 0.416 0.416 0.416
K3 K 0.584 0.584 0.584
K4 K 0.917 0.917 0.917
Ta1 Ta 0.000 0.333 0.667
Ta2 Ta 0.167 0.167 0.167
Ta3 Ta 0.333 0.667 0.000
Ta4 Ta 0.500 0.500 0.500
Ta5 Ta 0.667 0.000 0.333
Ta6 Ta 0.833 0.833 0.833
S1 S 0.030 0.699 0.368
S2 S 0.133 0.801 0.469
S3 S 0.199 0.867 0.531
S4 S 0.301 0.970 0.632
S5 S 0.368 0.030 0.699
S6 S 0.469 0.133 0.801
S7 S 0.531 0.199 0.867
S8 S 0.632 0.301 0.970
S9 S 0.699 0.368 0.030
S10 S 0.801 0.469 0.133
S11 S 0.867 0.531 0.199
S12 S 0.970 0.632 0.301
```

Properties
The total energy is -152.05 eV for the cell shown. Its uncorrected formation energy is -1228 meV/atom. As for the volume: 21.8 Å³ per atom.


Values of magnetization, in order: 0.0, 0.0, 0.0, 0.0, all in Bohr magnetons per cell.